Here is TlCdSF after structural relaxation from the Open Quantum Materials Database. Energies are from PBE.

Unit cell a=3.890 b=3.890 c=12.526 alpha=90.00 beta=90.00 gamma=90.00
Sites, in units of the cell vectors:
S  0.500  0.000  0.387
S  0.000  0.500  0.613
Cd  0.000  0.500  0.405
Cd  0.500  0.000  0.595
F  0.500  0.500  0.000
F  0.000  0.000  0.000
Tl  0.000  0.500  0.878
Tl  0.500  0.000  0.122

Summary:
**Calculated volume**: 189.5 Å³ per cell
**Uncorrected energy**: -3.325 eV per atom
**Polymorph energy (0 for the lowest one)**: 0.100 eV per atom